Computed, not measured: a PBEsol-optimized structure of InRe2Si at the meta-GGA SCAN level of DFT.

Unit cell a=2.9137 b=3.8894 c=5.6178 alpha=90.00 beta=101.73 gamma=90.00
Element x y z (fractional)
1 Re 0.1409 0.0000 0.7866
2 Re 0.8591 0.0000 0.2134
3 Si 0.5000 0.5000 0.0000
4 In 0.5000 0.5000 0.5000

Computed properties:
- uncorrected formation energy (eV per atom) = 0.36
- energy above the most stable polymorph in this dataset (eV/atom) = 0.1444

***

Computed, not measured: a PBEsol-optimized structure of InRe2Si at the meta-GGA SCAN level of DFT.

Unit cell a=3.0676 b=4.2500 c=5.4004 alpha=113.17 beta=106.50 gamma=90.00
Element x y z (fractional)
1 In 0.2362 0.7362 0.4724
2 Re 0.0223 0.0223 0.0446
3 Re 0.7686 0.2686 0.5372
4 Si 0.4729 0.4729 0.9458

Computed properties:
- uncorrected formation energy (eV per atom) = 0.43
- energy above the most stable polymorph in this dataset (eV/atom) = 0.2193

***

Computed, not measured: a PBEsol-optimized structure of SrIn2Re at the meta-GGA SCAN level of DFT.

Unit cell a=4.5042 b=4.5042 c=4.4027 alpha=90.00 beta=90.00 gamma=90.00
Element x y z (fractional)
1 In 0.5000 0.0000 0.0000
2 In 0.0000 0.5000 0.0000
3 Sr 0.0000 0.0000 0.5000
4 Re 0.5000 0.5000 0.5000

Computed properties:
- energy of formation from the pure elements (eV/atom) = 0.628

***

Computed, not measured: a PBEsol-optimized structure of SrInRe2 at the meta-GGA SCAN level of DFT.

Unit cell a=2.8584 b=4.5315 c=6.4998 alpha=90.00 beta=90.00 gamma=90.00
Element x y z (fractional)
1 In 0.5000 0.5000 0.5000
2 Re 0.0000 0.0000 0.6780
3 Re 0.0000 0.0000 0.3220
4 Sr 0.5000 0.5000 0.0000

Computed properties:
- energy of formation from the pure elements (eV/atom) = 0.827

***

Computed, not measured: a PBEsol-optimized structure of Sr2InRe at the meta-GGA SCAN level of DFT.

Unit cell a=3.3675 b=3.3675 c=10.8102 alpha=81.04 beta=81.04 gamma=60.00
Element x y z (fractional)
1 Sr 0.7411 0.7411 0.7766
2 Sr 0.2589 0.2589 0.2234
3 In 0.5000 0.5000 0.5000
4 Re 0.0000 0.0000 0.0000

Computed properties:
- energy of formation from the pure elements (eV/atom) = 0.857

***

Computed, not measured: a PBEsol-optimized structure of Sr2InRe at the meta-GGA SCAN level of DFT.

Unit cell a=3.0078 b=5.9212 c=5.9212 alpha=110.02 beta=90.00 gamma=90.00
Element x y z (fractional)
1 In 0.5000 0.0000 0.0000
2 Re 0.5000 0.5000 0.5000
3 Sr 0.0000 0.5000 0.0000
4 Sr 0.0000 0.0000 0.5000

Computed properties:
- energy of formation from the pure elements (eV/atom) = 0.725

***

Computed, not measured: a PBEsol-optimized structure of Sr2InRe at the meta-GGA SCAN level of DFT.

Unit cell a=3.1156 b=3.1156 c=10.1755 alpha=90.00 beta=90.00 gamma=90.00
Element x y z (fractional)
1 Sr 0.0000 0.0000 0.2700
2 Sr 0.0000 0.0000 0.7300
3 In 0.5000 0.5000 0.0000
4 Re 0.5000 0.5000 0.5000

Computed properties:
- energy of formation from the pure elements (eV/atom) = 0.644

***

Computed, not measured: a PBEsol-optimized structure of SrInReTe2 at the meta-GGA SCAN level of DFT.

Unit cell a=5.1679 b=5.1679 c=5.8031 alpha=90.00 beta=90.00 gamma=90.00
Element x y z (fractional)
1 Re 0.0000 0.0000 0.0000
2 Te 0.5000 0.0000 0.0000
3 Te 0.0000 0.5000 0.0000
4 In 0.5000 0.5000 0.5000
5 Sr 0.0000 0.0000 0.5000

Computed properties:
- uncorrected formation energy (eV per atom) = 0.34

***

Computed, not measured: a PBEsol-optimized structure of TaInRe at the meta-GGA SCAN level of DFT.

Unit cell a=2.8957 b=2.8957 c=7.0732 alpha=97.08 beta=97.08 gamma=113.44
Element x y z (fractional)
1 Ta 0.3226 0.3226 0.6451
2 In 0.0025 0.0025 0.0051
3 Re 0.6749 0.6749 0.3498

Computed properties:
- energy of formation from the pure elements (eV/atom) = 0.200

***

Computed, not measured: a PBEsol-optimized structure of TaIn2Re at the meta-GGA SCAN level of DFT.

Unit cell a=2.8826 b=2.8826 c=8.6655 alpha=90.00 beta=90.00 gamma=90.00
Element x y z (fractional)
1 In 0.0000 0.0000 0.7610
2 In 0.0000 0.0000 0.2390
3 Re 0.5000 0.5000 0.0000
4 Ta 0.5000 0.5000 0.5000

Computed properties:
- energy above the most stable polymorph in this dataset (eV/atom) = 0.0000
- energy of formation from the pure elements (eV/atom) = 0.536

***

Computed, not measured: a PBEsol-optimized structure of TaIn2Re at the meta-GGA SCAN level of DFT.

Unit cell a=4.6390 b=4.6390 c=4.6390 alpha=60.00 beta=60.00 gamma=60.00
Element x y z (fractional)
1 Ta 0.5000 0.5000 0.5000
2 In 0.7500 0.7500 0.7500
3 In 0.2500 0.2500 0.2500
4 Re 0.0000 0.0000 0.0000

Computed properties:
- energy above the most stable polymorph in this dataset (eV/atom) = 0.1207
- energy of formation from the pure elements (eV/atom) = 0.657

***

Computed, not measured: a PBEsol-optimized structure of InReTc2 at the meta-GGA SCAN level of DFT.

Unit cell a=2.7532 b=2.7532 c=9.1481 alpha=90.00 beta=90.00 gamma=115.64
Element x y z (fractional)
1 Re 0.5000 0.5000 0.2345
2 Tc 0.0000 0.0000 0.9981
3 Tc 0.5000 0.5000 0.7645
4 In 0.0000 0.0000 0.5029

Computed properties:
- energy of formation from the pure elements (eV/atom) = 0.445

***

Computed, not measured: a PBEsol-optimized structure of InRe2Tc at the meta-GGA SCAN level of DFT.

Unit cell a=3.1419 b=4.3571 c=5.2530 alpha=114.50 beta=107.40 gamma=90.00
Element x y z (fractional)
1 Re 0.2453 0.2453 0.4906
2 Re 0.7547 0.7547 0.5094
3 Tc 0.5000 0.0000 0.0000
4 In 0.0000 0.5000 0.0000

Computed properties:
- energy of formation from the pure elements (eV/atom) = 0.335

***

Computed, not measured: a PBEsol-optimized structure of InRe2Tc2 at the meta-GGA SCAN level of DFT.

Unit cell a=4.0966 b=4.0966 c=6.0281 alpha=109.86 beta=109.86 gamma=90.00
Element x y z (fractional)
1 In 0.0000 0.0000 0.0000
2 Tc 0.2500 0.7500 0.5000
3 Tc 0.7500 0.2500 0.5000
4 Re 0.6168 0.6168 0.2336
5 Re 0.3832 0.3832 0.7664

Computed properties:
- energy of formation from the pure elements (eV/atom) = 0.313

***

Computed, not measured: a PBEsol-optimized structure of InRe2Tc at the meta-GGA SCAN level of DFT.

Unit cell a=2.7578 b=2.7578 c=9.2257 alpha=90.00 beta=90.00 gamma=116.01
Element x y z (fractional)
1 In 0.5000 0.5000 0.0000
2 Re 0.0000 0.0000 0.7349
3 Re 0.0000 0.0000 0.2651
4 Tc 0.5000 0.5000 0.5000

Computed properties:
- energy of formation from the pure elements (eV/atom) = 0.501

***

Computed, not measured: a PBEsol-optimized structure of InRe2Te at the meta-GGA SCAN level of DFT.

Unit cell a=3.0043 b=3.0043 c=8.4178 alpha=90.00 beta=90.00 gamma=90.00
Element x y z (fractional)
1 Re 0.0000 0.0000 0.0336
2 Re 0.5000 0.5000 0.2164
3 Te 0.0000 0.0000 0.4547
4 In 0.5000 0.5000 0.7953

Computed properties:
- uncorrected formation energy (eV per atom) = 0.37
- energy above the most stable polymorph in this dataset (eV/atom) = 0.0000

***

Computed, not measured: a PBEsol-optimized structure of InRe2Te at the meta-GGA SCAN level of DFT.

Unit cell a=3.0397 b=4.6428 c=5.4114 alpha=100.24 beta=90.00 gamma=109.11
Element x y z (fractional)
1 Re 0.7533 0.5067 0.7234
2 Re 0.2467 0.4933 0.2766
3 In 0.5000 0.0000 0.0000
4 Te 0.0000 0.0000 0.5000

Computed properties:
- uncorrected formation energy (eV per atom) = 0.85
- energy above the most stable polymorph in this dataset (eV/atom) = 0.4775

***

Computed, not measured: a PBEsol-optimized structure of In3ReTe at the meta-GGA SCAN level of DFT.

Unit cell a=5.5230 b=5.5230 c=5.5230 alpha=90.00 beta=90.00 gamma=90.00
Element x y z (fractional)
1 In 0.0000 0.5000 0.0000
2 In 0.0000 0.0000 0.5000
3 In 0.5000 0.0000 0.0000
4 Re 0.5000 0.5000 0.5000
5 Te 0.0000 0.0000 0.0000

Computed properties:
- uncorrected formation energy (eV per atom) = 1.80

***

Computed, not measured: a PBEsol-optimized structure of TiInRe3 at the meta-GGA SCAN level of DFT.

Unit cell a=4.7100 b=4.7100 c=4.7100 alpha=90.00 beta=90.00 gamma=90.00
Element x y z (fractional)
1 Re 0.5000 0.0000 0.0000
2 Re 0.0000 0.0000 0.5000
3 Re 0.0000 0.5000 0.0000
4 In 0.0000 0.0000 0.0000
5 Ti 0.5000 0.5000 0.5000

Computed properties:
- energy of formation from the pure elements (eV/atom) = 2.853

***

Computed, not measured: a PBEsol-optimized structure of TlIn3Re at the meta-GGA SCAN level of DFT.

Unit cell a=5.1875 b=5.1875 c=5.1875 alpha=90.00 beta=90.00 gamma=90.00
Element x y z (fractional)
1 In 0.0000 0.5000 0.0000
2 In 0.5000 0.0000 0.0000
3 In 0.0000 0.0000 0.5000
4 Re 0.0000 0.0000 0.0000
5 Tl 0.5000 0.5000 0.5000

Computed properties:
- energy of formation from the pure elements (eV/atom) = 0.307

***

Computed, not measured: a PBEsol-optimized structure of TlInRe2 at the meta-GGA SCAN level of DFT.

Unit cell a=2.9142 b=5.1415 c=5.5338 alpha=117.04 beta=104.23 gamma=92.15
Element x y z (fractional)
1 Tl 0.5000 0.0000 0.0000
2 Re 0.0000 0.0000 0.5000
3 Re 0.5000 0.5000 0.5000
4 In 0.0000 0.5000 0.0000

Computed properties:
- energy of formation from the pure elements (eV/atom) = 1.074

***

Computed, not measured: a PBEsol-optimized structure of In3ReW at the meta-GGA SCAN level of DFT.

Unit cell a=5.0908 b=5.0908 c=5.0908 alpha=90.00 beta=90.00 gamma=90.00
Element x y z (fractional)
1 Re 0.0000 0.0000 0.0000
2 In 0.0000 0.5000 0.0000
3 In 0.0000 0.0000 0.5000
4 In 0.5000 0.0000 0.0000
5 W 0.5000 0.5000 0.5000

Computed properties:
- energy of formation from the pure elements (eV/atom) = 1.627

***

Computed, not measured: a PBEsol-optimized structure of InReW2 at the meta-GGA SCAN level of DFT.

Unit cell a=4.5105 b=4.5105 c=4.5105 alpha=60.00 beta=60.00 gamma=60.00
Element x y z (fractional)
1 Re 0.7500 0.7500 0.7500
2 W 0.2500 0.2500 0.2500
3 W 0.0000 0.0000 0.0000
4 In 0.5000 0.5000 0.5000

Computed properties:
- energy of formation from the pure elements (eV/atom) = 0.492

***

Computed, not measured: a PBEsol-optimized structure of YIn2Re at the meta-GGA SCAN level of DFT.

Unit cell a=3.6523 b=5.0255 c=5.1535 alpha=107.71 beta=110.75 gamma=90.00
Element x y z (fractional)
1 In 0.7322 0.7064 0.4643
2 In 0.2678 0.2936 0.5357
3 Y 0.5000 0.0000 0.0000
4 Re 0.0000 0.5000 0.0000

Computed properties:
- energy above the most stable polymorph in this dataset (eV/atom) = 0.0000
- energy of formation from the pure elements (eV/atom) = -0.002

***

Computed, not measured: a PBEsol-optimized structure of Y2InRe at the meta-GGA SCAN level of DFT.

Unit cell a=3.5027 b=3.5027 c=7.3424 alpha=90.00 beta=90.00 gamma=90.00
Element x y z (fractional)
1 Re 0.5000 0.5000 0.5000
2 In 0.5000 0.5000 0.0000
3 Y 0.0000 0.0000 0.2812
4 Y 0.0000 0.0000 0.7188

Computed properties:
- energy of formation from the pure elements (eV/atom) = -0.212

***

Computed, not measured: a PBEsol-optimized structure of YInRe2 at the meta-GGA SCAN level of DFT.

Unit cell a=2.9454 b=2.9454 c=9.9140 alpha=81.46 beta=81.46 gamma=60.00
Element x y z (fractional)
1 Y 0.4951 0.4951 0.5147
2 In 0.2580 0.2580 0.2259
3 Re 0.0062 0.0062 0.9813
4 Re 0.7406 0.7406 0.7782

Computed properties:
- energy of formation from the pure elements (eV/atom) = 0.407

***

Computed, not measured: a PBEsol-optimized structure of YInRe2 at the meta-GGA SCAN level of DFT.

Unit cell a=4.0355 b=4.0355 c=5.3271 alpha=112.26 beta=112.26 gamma=90.00
Element x y z (fractional)
1 Y 0.5000 0.5000 0.0000
2 In 0.0000 0.0000 0.0000
3 Re 0.7500 0.2500 0.5000
4 Re 0.2500 0.7500 0.5000

Computed properties:
- energy of formation from the pure elements (eV/atom) = 0.561

***

Computed, not measured: a PBEsol-optimized structure of Y2InRe at the meta-GGA SCAN level of DFT.

Unit cell a=3.0985 b=3.0985 c=10.0351 alpha=90.00 beta=90.00 gamma=109.73
Element x y z (fractional)
1 Y 0.0000 0.0000 0.0451
2 Y 0.5000 0.5000 0.7285
3 In 0.0000 0.0000 0.4677
4 Re 0.5000 0.5000 0.2587

Computed properties:
- energy of formation from the pure elements (eV/atom) = 0.382

***

Computed, not measured: a PBEsol-optimized structure of YIn2Re at the meta-GGA SCAN level of DFT.

Unit cell a=3.0099 b=4.7246 c=5.9047 alpha=90.00 beta=103.77 gamma=90.00
Element x y z (fractional)
1 Re 0.5000 0.5000 0.0000
2 In 0.6548 0.0000 0.7686
3 In 0.3452 0.0000 0.2314
4 Y 0.0000 0.5000 0.5000

Computed properties:
- energy above the most stable polymorph in this dataset (eV/atom) = 0.1373
- energy of formation from the pure elements (eV/atom) = 0.135

***

Computed, not measured: a PBEsol-optimized structure of YInRe2 at the meta-GGA SCAN level of DFT.

Unit cell a=2.8421 b=5.3209 c=5.5498 alpha=116.79 beta=101.68 gamma=96.41
Element x y z (fractional)
1 Y 0.5000 0.0000 0.0000
2 Re 0.5000 0.5000 0.5000
3 Re 0.0000 0.0000 0.5000
4 In 0.0000 0.5000 0.0000

Computed properties:
- energy of formation from the pure elements (eV/atom) = 0.499

***

How do the records compare in density of states at the Fermi level? In the order shown, they have 0.765, 0.421, 0.598, 0.765, 0.608, 0.886, 0.771, 0.822, 0.470, 0.785, 0.579, 0.795, 0.594, 0.697, 0.725, 0.612, 0.825, 0.629, 0.888, 0.510, 0.763, 0.455, 0.612, 0.119, 0.896, 0.849, 1.172, 1.199, 0.577, 0.758 states/eV per atom.
How do the records compare in magnetic moment? In the order shown, they have 0.0, 0.0, 1.3, 0.0, 1.0, 0.0, 0.0, 1.0, 0.0, 1.1, 0.0, 0.0, 0.0, 0.0, 0.0, 0.0, 0.0, 4.1, 1.8, 0.0, 1.1, 5.5, 0.0, 0.0, 0.0, 0.0, 0.0, 0.0, 0.0, 0.0 μB/cell.